(1)
# Ba2ZnAu, PBEsol geometry, DFT meta-GGA SCAN
data_Ba2ZnAu
_cell_length_a 4.6508
_cell_length_b 4.6508
_cell_length_c 23.7852
_cell_angle_alpha 90.00
_cell_angle_beta 90.00
_cell_angle_gamma 120.00
_symmetry_space_group_name_H-M 'R -3 m'
_symmetry_Int_Tables_number 166
_symmetry_space_group_name_Hall '-R 3 2"'
loop_
_atom_site_label
_atom_site_fract_x
_atom_site_fract_y
_atom_site_fract_z
Ba1 0.0000 0.0000 0.2441
Zn1 0.0000 0.0000 0.0000
Au1 0.0000 0.0000 0.5000
# Volume ... 445.5 Å³ per cell
# Formation energy ... -425 meV/atom
# DOS(E_F) ... 7.84 states/eV per cell
# Total energy ... -490.42 eV/cell
# Crystal system ... trigonal

=====

(2)
# Y3HgN, PBEsol geometry, DFT meta-GGA SCAN
data_Y3HgN
_cell_length_a 6.7218
_cell_length_b 9.4384
_cell_length_c 6.6975
_cell_angle_alpha 90.00
_cell_angle_beta 90.00
_cell_angle_gamma 90.00
_symmetry_space_group_name_H-M 'I m m a'
_symmetry_Int_Tables_number 74
_symmetry_space_group_name_Hall '-I 2b 2'
loop_
_atom_site_label
_atom_site_fract_x
_atom_site_fract_y
_atom_site_fract_z
Y1 0.0000 0.2500 0.0651
Y2 0.2500 0.0330 0.7500
Hg1 0.0000 0.2500 0.5063
N1 0.0000 0.0000 0.0000
# Volume ... 424.9 Å³ per cell
# Uncorrected formation energy ... -6.3 eV per formula unit
# DOS(E_F) ... 2.18 states/eV per cell
# Total energy ... -668.96 eV/cell
# Crystal system ... orthorhombic